No. 1
Compound: Li2Cu7Rh2
Source: the Alexandria database
Functional: PBE-GGA
Structure: relaxed

Lattice parameters (Å, degrees): 8.333 8.399 4.640 90.00 114.98 90.00
Space group C2/m (No. 12)
Asymmetric unit:
Li 0.000 0.208 0.000 [4 per cell]
Cu 0.000 0.000 0.500 [2 per cell]
Cu 0.100 0.500 0.340 [4 per cell]
Cu 0.169 0.243 0.666 [8 per cell]
Rh 0.242 0.500 0.959 [4 per cell]

## Properties
Uncorrected energy   -93.15 eV per cell
E_form   57 meV per atom
Magnetic moment   0.00 μB per formula unit
ΔE to the lowest computed polymorph   31 meV per atom
DOS at the Fermi energy   0.418 states/eV/atom

No. 2
Compound: Li4CuRh2
Source: the Alexandria database
Functional: PBE-GGA
Structure: relaxed

Lattice parameters (Å, degrees): 2.7007 2.7007 46.5749 90.00 90.00 120.00
Space group R-3m (No. 166, hexagonal axes)
Asymmetric unit:
Li 0.0000 0.0000 0.1375 [6 per cell]
Li 0.0000 0.0000 0.2862 [6 per cell]
Cu 0.0000 0.0000 0.0000 [3 per cell]
Rh 0.0000 0.0000 0.4261 [6 per cell]

## Properties
Uncorrected energy   -81.33 eV per cell
E_form   -94 meV per atom
Magnetic moment   0.74 μB per formula unit
ΔE to the lowest computed polymorph   0 meV per atom
DOS at the Fermi energy   0.915 states/eV/atom

No. 3
Compound: Li7Cu3Rh
Source: the Alexandria database
Functional: PBE-GGA
Structure: relaxed

Lattice parameters (Å, degrees): 2.623 20.806 12.046 90.00 90.00 90.00
Space group Cmcm (No. 63)
Asymmetric unit:
Li 0.000 0.056 0.132 [8 per cell]
Li 0.000 0.086 0.594 [8 per cell]
Li 0.000 0.177 0.250 [4 per cell]
Li 0.000 0.223 0.606 [8 per cell]
Cu 0.000 0.342 0.553 [8 per cell]
Cu 0.000 0.348 0.250 [4 per cell]
Rh 0.000 0.473 0.250 [4 per cell]

## Properties
Uncorrected energy   -132.58 eV per cell
E_form   -10 meV per atom
Magnetic moment   0.08 μB per formula unit
DOS at the Fermi energy   0.455 states/eV/atom

No. 4
Compound: Li4Cu4Rh
Source: the Alexandria database
Functional: PBE-GGA
Structure: relaxed

Lattice parameters (Å, degrees): 7.678 7.678 3.898 90.00 90.00 90.00
Space group I4/mmm (No. 139)
Asymmetric unit:
Li 0.165 0.165 0.000 [8 per cell]
Cu 0.000 0.340 0.500 [8 per cell]
Rh 0.000 0.000 0.500 [2 per cell]

## Properties
Uncorrected energy   -64.33 eV per cell
E_form   -86 meV per atom
Magnetic moment   0.00 μB per formula unit
ΔE to the lowest computed polymorph   0 meV per atom
DOS at the Fermi energy   0.377 states/eV/atom

No. 5
Compound: Li5CuRh
Source: the Alexandria database
Functional: PBE-GGA
Structure: relaxed

Lattice parameters (Å, degrees): 4.033 4.033 6.660 90.00 90.00 90.00
Space group P4/mmm (No. 123)
Asymmetric unit:
Li 0.000 0.000 0.000 [1 per cell]
Li 0.000 0.500 0.262 [4 per cell]
Cu 0.000 0.000 0.500 [1 per cell]
Rh 0.500 0.500 0.000 [1 per cell]

## Properties
Uncorrected energy   -20.61 eV per cell
E_form   59 meV per atom
Magnetic moment   0.00 μB per formula unit
ΔE to the lowest computed polymorph   105 meV per atom
DOS at the Fermi energy   0.495 states/eV/atom

No. 6
Compound: LiCu2Rh
Source: the Alexandria database
Functional: PBE-GGA
Structure: relaxed

Lattice parameters (Å, degrees): 3.864 3.864 6.824 90.00 90.00 90.00
Space group I4/mmm (No. 139)
Asymmetric unit:
Li 0.000 0.000 0.000 [2 per cell]
Cu 0.000 0.500 0.250 [4 per cell]
Rh 0.000 0.000 0.500 [2 per cell]

## Properties
Uncorrected energy   -35.27 eV per cell
E_form   -44 meV per atom
Magnetic moment   0.00 μB per formula unit
DOS at the Fermi energy   0.469 states/eV/atom

Q: The highest DOS at the Fermi energy belongs to which entry?
A: Li4CuRh2